DFT (PBE) results for a relaxed CaYGa3O7 crystal.

a = 7.9248 Å, b = 7.9248 Å, c = 5.2367 Å
α = 90.00°, β = 90.00°, γ = 90.45°
Atoms (fractional coordinates):
Ca 0.1599 0.8401 0.4802
Ca 0.8401 0.1599 0.4802
Y 0.6591 0.6591 0.5202
Y 0.3409 0.3409 0.5202
Ga 0.5000 0.0000 0.9998
Ga 0.0000 0.5000 0.9998
Ga 0.3562 0.6438 0.0359
Ga 0.8532 0.8532 0.9627
Ga 0.6438 0.3562 0.0359
Ga 0.1468 0.1468 0.9627
O 0.4079 0.8404 0.2143
O 0.8957 0.6523 0.7833
O 0.5921 0.1596 0.2143
O 0.1043 0.3477 0.7833
O 0.3477 0.1043 0.7833
O 0.8404 0.4079 0.2143
O 0.6523 0.8957 0.7833
O 0.1596 0.5921 0.2143
O 0.3713 0.6287 0.6892
O 0.8472 0.8472 0.3085
O 0.6287 0.3713 0.6892
O 0.1529 0.1529 0.3085
O 0.0000 0.0000 0.7986
O 0.5000 0.5000 0.2183

Calculated values
As for the symmetry: Cmm2, No. 35. For the total energy, the calculation gives -81.17 eV per formula unit. As for the crystal system: orthorhombic.



DFT (PBE) results for a relaxed CaGaOs3 crystal.

a = 4.6214 Å, b = 4.6214 Å, c = 4.6214 Å
α = 90.00°, β = 90.00°, γ = 90.00°
Atoms (fractional coordinates):
Ca 0.5000 0.5000 0.5000
Os 0.0000 0.5000 0.0000
Os 0.0000 0.0000 0.5000
Os 0.5000 0.0000 0.0000
Ga 0.0000 0.0000 0.0000

Calculated values
As for the symmetry: Pm-3m, No. 221. The formation energy from the elements is 1.375 eV per atom. As for the crystal system: cubic.



DFT (PBE) results for a relaxed CaGaOs3 crystal.

a = 4.7221 Å, b = 4.7221 Å, c = 4.7221 Å
α = 90.00°, β = 90.00°, γ = 90.00°
Atoms (fractional coordinates):
Ca 0.0000 0.0000 0.0000
Os 0.0000 0.5000 0.0000
Os 0.0000 0.0000 0.5000
Os 0.5000 0.0000 0.0000
Ga 0.5000 0.5000 0.5000

Calculated values
As for the symmetry: Pm-3m, No. 221. The formation energy from the elements is 3.066 eV per atom. As for the crystal system: cubic.



DFT (PBE) results for a relaxed CaGaOs crystal.

a = 4.4582 Å, b = 7.8896 Å, c = 8.3620 Å
α = 90.00°, β = 122.21°, γ = 90.00°
Atoms (fractional coordinates):
Ca 0.6024 0.0760 0.8523
Ca 0.8976 0.5760 0.1477
Ca 0.3976 0.9240 0.1477
Ca 0.1024 0.4240 0.8523
Ga 0.2035 0.8923 0.4536
Ga 0.2965 0.3923 0.5464
Ga 0.7965 0.1077 0.5464
Ga 0.7035 0.6077 0.4536
Os 0.9670 0.8252 0.7169
Os 0.5330 0.3252 0.2831
Os 0.0330 0.1748 0.2831
Os 0.4670 0.6748 0.7169

Calculated values
As for the symmetry: Pbcm, No. 57. The formation energy from the elements is -0.018 eV per atom. As for the crystal system: orthorhombic.



DFT (PBE) results for a relaxed Ca2Ga2Os crystal.

a = 6.7213 Å, b = 6.7213 Å, c = 4.7910 Å
α = 90.00°, β = 90.00°, γ = 90.00°
Atoms (fractional coordinates):
Ca 0.1812 0.6812 0.5000
Ca 0.6812 0.8188 0.5000
Ca 0.8188 0.3188 0.5000
Ca 0.3188 0.1812 0.5000
Os 0.0000 0.0000 0.0000
Os 0.5000 0.5000 0.0000
Ga 0.3581 0.8581 0.0000
Ga 0.8581 0.6419 0.0000
Ga 0.6419 0.1419 0.0000
Ga 0.1419 0.3581 0.0000

Calculated values
As for the symmetry: P4/mbm, No. 127. The formation energy from the elements is -0.099 eV per atom. As for the crystal system: tetragonal.



DFT (PBE) results for a relaxed Ca3GaOs crystal.

a = 5.4601 Å, b = 5.4601 Å, c = 5.4601 Å
α = 90.00°, β = 90.00°, γ = 90.00°
Atoms (fractional coordinates):
Ca 0.0000 0.5000 0.0000
Ca 0.0000 0.0000 0.5000
Ca 0.5000 0.0000 0.0000
Os 0.0000 0.0000 0.0000
Ga 0.5000 0.5000 0.5000

Calculated values
As for the symmetry: Pm-3m, No. 221. The formation energy from the elements is 0.370 eV per atom. As for the crystal system: cubic.



DFT (PBE) results for a relaxed Ca2GaOsPd crystal.

a = 5.4139 Å, b = 4.5546 Å, c = 5.4139 Å
α = 90.00°, β = 90.00°, γ = 90.00°
Atoms (fractional coordinates):
Ca 0.0000 0.0000 0.5000
Ca 0.5000 0.0000 0.0000
Os 0.0000 0.5000 0.0000
Ga 0.0000 0.0000 0.0000
Pd 0.5000 0.5000 0.5000

Calculated values
As for the symmetry: P4/mmm, No. 123. The formation energy from the elements is 0.560 eV per atom. As for the crystal system: tetragonal.



DFT (PBE) results for a relaxed Ca2GaOsPd crystal.

a = 5.2828 Å, b = 4.6906 Å, c = 5.2828 Å
α = 90.00°, β = 90.00°, γ = 90.00°
Atoms (fractional coordinates):
Ca 0.0000 0.0000 0.5000
Ca 0.5000 0.0000 0.0000
Os 0.5000 0.5000 0.5000
Ga 0.0000 0.5000 0.0000
Pd 0.0000 0.0000 0.0000

Calculated values
As for the symmetry: P4/mmm, No. 123. The formation energy from the elements is 0.567 eV per atom. As for the crystal system: tetragonal.



DFT (PBE) results for a relaxed CaGa2OsRu crystal.

a = 4.7555 Å, b = 5.3012 Å, c = 4.7555 Å
α = 90.00°, β = 90.00°, γ = 90.00°
Atoms (fractional coordinates):
Ru 0.5000 0.5000 0.5000
Ca 0.0000 0.5000 0.0000
Os 0.0000 0.0000 0.0000
Ga 0.0000 0.0000 0.5000
Ga 0.5000 0.0000 0.0000

Calculated values
As for the symmetry: P4/mmm, No. 123. The formation energy from the elements is 0.835 eV per atom. As for the crystal system: tetragonal.



DFT (PBE) results for a relaxed CaGaOsS2 crystal.

a = 4.8394 Å, b = 4.7057 Å, c = 4.8394 Å
α = 90.00°, β = 90.00°, γ = 90.00°
Atoms (fractional coordinates):
Ca 0.5000 0.5000 0.5000
Os 0.0000 0.5000 0.0000
S 0.0000 0.0000 0.5000
S 0.5000 0.0000 0.0000
Ga 0.0000 0.0000 0.0000

Calculated values
As for the symmetry: P4/mmm, No. 123. For the total energy, the calculation gives -22.53 eV per formula unit. As for the crystal system: tetragonal.



DFT (PBE) results for a relaxed CaGaSb2Os crystal.

a = 5.6658 Å, b = 5.1039 Å, c = 5.6658 Å
α = 90.00°, β = 90.00°, γ = 90.00°
Atoms (fractional coordinates):
Sb 0.0000 0.0000 0.5000
Sb 0.5000 0.0000 0.0000
Ca 0.0000 0.0000 0.0000
Os 0.0000 0.5000 0.0000
Ga 0.5000 0.5000 0.5000

Calculated values
As for the symmetry: P4/mmm, No. 123. For the total energy, the calculation gives -16.90 eV per formula unit. As for the crystal system: tetragonal.



DFT (PBE) results for a relaxed CaGa2SbOs crystal.

a = 5.2750 Å, b = 5.2750 Å, c = 4.8987 Å
α = 90.00°, β = 90.00°, γ = 90.00°
Atoms (fractional coordinates):
Sb 0.5000 0.5000 0.5000
Ca 0.0000 0.0000 0.0000
Os 0.0000 0.0000 0.5000
Ga 0.0000 0.5000 0.0000
Ga 0.5000 0.0000 0.0000

Calculated values
As for the symmetry: P4/mmm, No. 123. For the total energy, the calculation gives -15.90 eV per formula unit. As for the crystal system: tetragonal.